[1]
Density functional theory data (PBE) for TcAs2W after structural relaxation.

The structure in POSCAR format:
```
TcAs2W
1.0
2.9736 0.0000 0.0000
0.0000 2.9736 0.0000
0.0000 0.0000 8.0200
Tc As W
1 2 1
direct
0.0000 0.0000 0.0000
0.0000 0.0000 0.4414
0.5000 0.5000 0.8112
0.5000 0.5000 0.2195
```

Calculated values
Uncorrected energy = -32.49 eV/cell
Calculated formation energy = 0.031 eV per atom
V = 70.91 Å³ per cell

=====

[2]
Density functional theory data (PBE) for Pr3InAu after structural relaxation.

The structure in POSCAR format:
```
Pr3InAu
1.0
8.7701 -3.5417 0.0000
8.7701 3.5417 0.0000
-6.0147 0.0000 10.0255
Pr In Au
12 4 4
direct
0.1397 0.7358 0.5485
0.1725 0.2088 0.7856
0.2088 0.1725 0.2856
0.2642 0.8603 0.9515
0.3659 0.3939 0.2354
0.3939 0.3659 0.7354
0.6061 0.6341 0.2646
0.6341 0.6061 0.7646
0.7358 0.1397 0.0485
0.7912 0.8275 0.7144
0.8275 0.7912 0.2144
0.8603 0.2642 0.4515
0.1518 0.6153 0.9840
0.3847 0.8482 0.5160
0.6153 0.1518 0.4840
0.8482 0.3847 0.0160
0.0000 0.5000 0.5000
0.1341 0.8659 0.2500
0.5000 0.0000 0.0000
0.8659 0.1341 0.7500
```

Calculated values
Uncorrected energy = -89.11 eV/cell
Calculated formation energy = -0.385 eV per atom
V = 622.80 Å³ per cell

=====

[3]
Density functional theory data (PBE) for LiTl2Te2O6 after structural relaxation.

The structure in POSCAR format:
```
LiTl2Te2O6
1.0
4.0773 -3.4295 0.0000
4.0773 3.4295 0.0000
-3.8440 0.0000 7.7039
Li Tl Te O
1 2 2 6
direct
0.0000 0.0000 0.0000
0.1355 0.1355 0.7083
0.8645 0.8645 0.2917
0.4235 0.4235 0.2463
0.5765 0.5765 0.7537
0.2125 0.6365 0.7497
0.2375 0.2375 0.0164
0.3635 0.7875 0.2503
0.6365 0.2125 0.7497
0.7625 0.7625 0.9836
0.7875 0.3635 0.2503
```

Calculated values
Uncorrected energy = -53.28 eV/cell
V = 215.45 Å³ per cell

=====

[4]
Density functional theory data (PBE) for V3GaW after structural relaxation.

The structure in POSCAR format:
```
V3GaW
1.0
4.4019 0.0000 0.0000
0.0000 4.4019 0.0000
0.0000 0.0000 4.4019
V Ga W
3 1 1
direct
0.0000 0.0000 0.5000
0.0000 0.5000 0.0000
0.5000 0.0000 0.0000
0.0000 0.0000 0.0000
0.5000 0.5000 0.5000
```

Calculated values
Uncorrected energy = -36.53 eV/cell
Calculated formation energy = 1.361 eV per atom
V = 85.29 Å³ per cell